1.
Compound: Li4PuHg
Source: Alexandria
Functional: GGA-PBE
Structure: optimized geometry

Cell: 5.479 5.479 5.479 Å, 60.00 60.00 60.00°
Element x y z (fractional)
1 Li 0.123 0.123 0.123
2 Li 0.123 0.123 0.632
3 Li 0.123 0.632 0.123
4 Li 0.632 0.123 0.123
5 Pu 0.500 0.500 0.500
6 Hg 0.750 0.750 0.750

Its crystal system is cubic. For the mass density, the calculation gives 6.7 g cm⁻³. The value obtained for the total energy is -3.647 eV/atom. The space group is F-43m (216). The formation energy is 0.068 eV/atom. The calculation puts the total magnetic moment at 5.8 μB/cell.

2.
Compound: LiPuHg6
Source: Alexandria
Functional: GGA-PBE
Structure: optimized geometry

Cell: 8.775 8.775 8.775 Å, 34.20 34.20 34.20°
Element x y z (fractional)
1 Li 0.000 0.000 0.000
2 Pu 0.500 0.500 0.500
3 Hg 0.116 0.116 0.116
4 Hg 0.244 0.244 0.244
5 Hg 0.367 0.367 0.367
6 Hg 0.633 0.633 0.633
7 Hg 0.756 0.756 0.756
8 Hg 0.884 0.884 0.884

Its crystal system is trigonal. For the mass density, the calculation gives 12.7 g cm⁻³. The value obtained for the total energy is -2.395 eV/atom. The space group is R-3m (166). As for the relative energy among the computed polymorphs: 17.9 meV per atom. The formation energy is -0.138 eV/atom. The calculation puts the total magnetic moment at 5.9 μB/cell.

3.
Compound: Li2PuHg7
Source: Alexandria
Functional: GGA-PBE
Structure: optimized geometry

Cell: 4.979 4.979 11.216 Å, 90.00 90.00 120.00°
Element x y z (fractional)
1 Li 0.000 0.000 0.000
2 Li 0.333 0.667 0.843
3 Pu 0.667 0.333 0.342
4 Hg 0.000 0.000 0.229
5 Hg 0.000 0.000 0.506
6 Hg 0.000 0.000 0.769
7 Hg 0.333 0.667 0.114
8 Hg 0.333 0.667 0.465
9 Hg 0.667 0.333 0.651
10 Hg 0.667 0.333 0.956

Its crystal system is trigonal. For the mass density, the calculation gives 11.5 g cm⁻³. The value obtained for the total energy is -2.154 eV/atom. The space group is P3m1 (156). The formation energy is -0.127 eV/atom. The calculation puts the total magnetic moment at 6.0 μB/cell.